Entry from Alexandria via LeMat-Bulk: an optimized crystal structure of Li2Ti2VO6 (PBE with a Hubbard U).

Lattice parameters (Å, degrees): 5.145 5.192 10.402 90.00 90.00 119.70
Site moments in Bohr magnetons follow the coordinates.
Element x y z (fractional)
O  0.360  0.364  0.107  0.00
Li  0.332  0.500  0.750  0.00
O  0.354  0.000  0.899  0.00
Li  0.668  0.500  0.250  0.00
O  0.004  0.364  0.893  0.00
Ti  0.340  0.679  0.000  0.12
O  0.496  0.636  0.393  0.00
O  0.140  0.636  0.607  0.00
O  0.646  0.000  0.101  0.00
O  0.854  0.000  0.601  0.00
O  0.640  0.636  0.893  0.00
O  0.146  0.000  0.399  0.00
Ti  0.660  0.321  0.000  0.12
O  0.504  0.364  0.607  0.00
Li  0.168  0.500  0.250  0.00
Ti  0.160  0.321  0.500  0.12
V  0.500  0.000  0.500  2.48
Ti  0.840  0.679  0.500  0.12
O  0.860  0.364  0.393  0.00
O  0.996  0.636  0.107  0.00
Li  0.832  0.500  0.750  0.00
V  0.000  0.000  0.000  2.48

Properties
Uncorrected energy: -7.6855 eV per atom
Magnetization: 6.0 Bohr magnetons per cell
Space group: No. 64
Calculated density: 3.53 g/cm³